[1]
DFT (PBE-GGA) results for crystalline Ge2PbI2 at its relaxed geometry.

```
Ge2PbI2
1.0
3.850 0.000 0.000
0.000 3.850 0.000
0.000 0.000 25.152
Ge Pb I
4 2 4
Cartesian
0.000 1.925 6.288 Ge
0.000 1.925 18.864 Ge
1.925 0.000 6.288 Ge
1.925 0.000 18.864 Ge
0.000 0.000 0.000 Pb
1.925 1.925 12.576 Pb
0.000 0.000 10.582 I
0.000 0.000 14.570 I
1.925 1.925 1.994 I
1.925 1.925 23.158 I
```

Output
uncorrected formation energy: 0.3 eV/f.u.
space group: No. 139
excess energy over the best structure of this formula in the dataset: 0.000 eV/atom
DFT total energy: -3.16 eV per atom
spin magnetization: 0.000 μB per atom

=====

[2]
DFT (PBE-GGA) results for crystalline La2RePdC at its relaxed geometry.

```
La2RePdC
1.0
5.312 0.000 0.000
0.000 5.312 0.000
0.000 0.000 3.948
La Re Pd C
2 1 1 1
Cartesian
0.000 2.656 0.000 La
2.656 0.000 0.000 La
0.000 0.000 1.974 Re
2.656 2.656 1.974 Pd
0.000 0.000 0.000 C
```

Output
energy of formation: -208 meV/atom
space group: No. 123
DFT total energy: -7.55 eV per atom
spin magnetization: 0.000 μB per atom

=====

[3]
DFT (PBE-GGA) results for crystalline KMo2Cl at its relaxed geometry.

```
KMo2Cl
1.0
2.755 0.000 0.000
0.000 5.322 0.000
0.000 0.000 7.000
K Mo Cl
1 2 1
Cartesian
0.000 0.000 0.000 K
1.377 1.128 3.500 Mo
1.377 4.193 3.500 Mo
0.000 2.661 0.000 Cl
```

Output
uncorrected formation energy: 4.1 eV/f.u.
space group: No. 47
excess energy over the best structure of this formula in the dataset: 0.935 eV/atom
DFT total energy: -5.14 eV per atom
spin magnetization: 0.000 μB per atom

=====

[4]
DFT (PBE-GGA) results for crystalline Pm2ErCd6 at its relaxed geometry.

```
Pm2ErCd6
1.0
8.714 0.000 0.000
-4.357 7.546 0.000
0.000 0.000 3.434
Pm Er Cd
2 1 6
Cartesian
0.000 5.031 0.000 Pm
4.357 2.515 0.000 Pm
0.000 0.000 0.000 Er
-1.439 2.492 1.717 Cd
-2.918 5.054 1.717 Cd
2.878 0.000 1.717 Cd
1.439 2.492 1.717 Cd
5.836 0.000 1.717 Cd
2.918 5.054 1.717 Cd
```

Output
energy of formation: -326 meV/atom
space group: No. 191
DFT total energy: -2.50 eV per atom
spin magnetization: 0.029 μB per atom

=====

[5]
DFT (PBE-GGA) results for crystalline Er7Tm4Th at its relaxed geometry.

```
Er7Tm4Th
1.0
6.666 0.000 0.000
1.616 6.697 0.000
1.957 1.121 8.287
Er Tm Th
7 4 1
Cartesian
0.000 0.000 0.000 Er
2.897 4.479 3.054 Er
3.842 2.323 5.556 Er
4.456 5.054 0.225 Er
5.784 2.764 8.062 Er
6.398 5.495 2.730 Er
7.343 3.339 5.232 Er
2.069 1.104 2.768 Tm
4.806 5.655 5.675 Tm
5.434 2.163 2.612 Tm
8.170 6.714 5.519 Tm
0.808 3.348 0.000 Th
```

Output
energy of formation: 87 meV/atom
space group: No. 2
DFT total energy: -4.68 eV per atom
spin magnetization: 0.000 μB per atom

=====

[6]
DFT (PBE-GGA) results for crystalline ScHgI3 at its relaxed geometry.

```
ScHgI3
1.0
7.296 0.000 0.000
-3.629 6.337 0.000
-1.091 -1.871 10.225
Sc Hg I
2 2 6
Cartesian
0.000 0.000 0.000 Sc
-1.071 2.349 10.224 Sc
1.493 2.058 5.111 Hg
4.737 0.300 5.113 Hg
-1.054 2.114 1.679 I
-0.017 0.235 8.544 I
2.351 -0.150 1.691 I
0.222 4.326 8.539 I
2.373 4.360 1.684 I
3.874 2.500 8.532 I
```

Output
uncorrected formation energy: -4.9 eV/f.u.
space group: No. 1
excess energy over the best structure of this formula in the dataset: 0.000 eV/atom
DFT total energy: -3.23 eV per atom
spin magnetization: 0.000 μB per atom

=====

[7]
DFT (PBE-GGA) results for crystalline Li2Zn2Sn at its relaxed geometry.

```
Li2Zn2Sn
1.0
7.131 0.000 0.000
0.000 7.131 0.000
0.000 0.000 3.535
Li Zn Sn
4 4 2
Cartesian
1.199 2.366 0.000 Li
2.366 5.931 0.000 Li
4.765 1.199 0.000 Li
5.931 4.765 0.000 Li
0.884 4.450 1.768 Zn
2.681 0.884 1.768 Zn
4.450 6.246 1.768 Zn
6.246 2.681 1.768 Zn
0.000 0.000 1.768 Sn
3.565 3.565 1.768 Sn
```

Output
energy of formation: -172 meV/atom
space group: No. 127
excess energy over the best structure of this formula in the dataset: 0.056 eV/atom
DFT total energy: -2.25 eV per atom
spin magnetization: 0.000 μB per atom

=====

[8]
DFT (PBE-GGA) results for crystalline Al4Fe8C at its relaxed geometry.

```
Al4Fe8C
1.0
3.735 0.000 0.000
0.000 3.781 0.000
0.000 0.000 10.716
Al Fe C
4 8 1
Cartesian
0.000 0.000 0.000 Al
0.000 1.890 1.878 Al
1.867 0.000 5.191 Al
1.867 1.890 7.153 Al
0.000 0.000 3.534 Fe
0.000 0.000 6.850 Fe
0.000 1.890 5.231 Fe
0.000 1.890 8.857 Fe
1.867 0.000 1.818 Fe
1.867 0.000 8.888 Fe
1.867 1.890 0.054 Fe
1.867 1.890 3.522 Fe
0.000 0.000 8.687 C
```

Output
energy of formation: -147 meV/atom
space group: No. 25
DFT total energy: -7.22 eV per atom
spin magnetization: 0.968 μB per atom

=====

[9]
DFT (PBE-GGA) results for crystalline Tb3ZnCu8 at its relaxed geometry.

```
Tb3ZnCu8
1.0
2.578 1.488 8.448
-2.578 1.488 8.448
0.000 -2.976 8.448
Tb Zn Cu
3 1 8
Cartesian
0.000 0.000 0.000 Tb
0.000 0.000 3.220 Tb
0.000 0.000 15.500 Tb
0.000 0.000 12.404 Zn
0.000 -1.517 5.677 Cu
-1.314 0.759 5.677 Cu
-1.284 -0.741 9.959 Cu
0.000 0.000 7.786 Cu
1.284 -0.741 9.959 Cu
0.000 1.483 9.959 Cu
1.314 0.759 5.677 Cu
0.000 0.000 20.510 Cu
```

Output
energy of formation: -189 meV/atom
space group: No. 160
DFT total energy: -4.18 eV per atom
spin magnetization: 0.000 μB per atom

=====

[10]
DFT (PBE-GGA) results for crystalline AcNi4Sn8 at its relaxed geometry.

```
AcNi4Sn8
1.0
-4.865 4.865 2.941
4.865 -4.865 2.941
4.865 4.865 -2.941
Ac Ni Sn
1 4 8
Cartesian
0.000 0.000 0.000 Ac
2.433 2.433 -1.470 Ni
2.433 -2.433 1.470 Ni
-2.433 2.433 1.470 Ni
2.433 2.433 1.470 Ni
3.287 0.000 0.000 Sn
6.444 0.000 0.000 Sn
4.865 2.737 0.000 Sn
0.000 3.287 0.000 Sn
2.737 4.865 0.000 Sn
2.129 0.000 2.941 Sn
0.000 6.444 0.000 Sn
0.000 2.129 2.941 Sn
```

Output
energy of formation: -59 meV/atom
space group: No. 139
DFT total energy: -4.62 eV per atom
spin magnetization: 0.000 μB per atom

=====

[11]
DFT (PBE-GGA) results for crystalline LiAcPuZn at its relaxed geometry.

```
LiAcPuZn
1.0
7.589 0.000 0.000
0.000 7.589 0.000
0.000 0.000 7.589
Li Ac Pu Zn
4 4 4 4
Cartesian
0.000 0.000 0.000 Li
0.000 3.795 3.795 Li
3.795 0.000 3.795 Li
3.795 3.795 0.000 Li
1.897 1.897 5.692 Ac
1.897 5.692 1.897 Ac
5.692 1.897 1.897 Ac
5.692 5.692 5.692 Ac
1.897 1.897 1.897 Pu
1.897 5.692 5.692 Pu
5.692 1.897 5.692 Pu
5.692 5.692 1.897 Pu
0.000 0.000 3.795 Zn
0.000 3.795 0.000 Zn
3.795 0.000 0.000 Zn
3.795 3.795 3.795 Zn
```

Output
energy of formation: 124 meV/atom
space group: No. 216
DFT total energy: -5.28 eV per atom
spin magnetization: 1.654 μB per atom

=====

[12]
DFT (PBE-GGA) results for crystalline Rb2AcNbS4 at its relaxed geometry.

```
Rb2AcNbS4
1.0
7.663 0.000 0.000
0.000 7.663 0.000
0.000 0.000 9.396
Rb Ac Nb S
4 2 2 8
Cartesian
0.000 0.000 0.000 Rb
0.000 3.831 2.349 Rb
3.831 0.000 7.047 Rb
3.831 3.831 4.698 Rb
0.000 0.000 4.698 Ac
3.831 3.831 0.000 Ac
0.000 3.831 7.047 Nb
3.831 0.000 2.349 Nb
1.387 5.578 6.086 S
1.747 2.445 8.008 S
2.084 1.387 3.310 S
2.445 5.916 1.388 S
5.218 1.747 1.388 S
5.578 6.276 3.310 S
5.916 5.218 8.008 S
6.276 2.084 6.086 S
```

Output
uncorrected formation energy: -9.4 eV/f.u.
space group: No. 82
DFT total energy: -5.25 eV per atom
spin magnetization: 0.252 μB per atom

=====

[13]
DFT (PBE-GGA) results for crystalline UP2H at its relaxed geometry.

```
UP2H
1.0
4.112 0.000 0.000
-2.056 3.561 0.000
0.000 0.000 17.992
U P H
3 6 3
Cartesian
0.000 0.000 0.000 U
0.000 2.374 11.995 U
2.056 1.187 5.997 U
0.000 0.000 7.307 P
0.000 0.000 10.684 P
0.000 2.374 1.310 P
0.000 2.374 4.687 P
2.056 1.187 13.305 P
2.056 1.187 16.682 P
0.000 0.000 8.996 H
0.000 2.374 2.999 H
2.056 1.187 14.993 H
```

Output
space group: No. 166
DFT total energy: -6.49 eV per atom
spin magnetization: 0.251 μB per atom